! PBE BaPmNd4S8, optimized geometry; values from VASP
! Space-group type = No. 160
! Calculated total energy = -6.154 eV per atom
! Raw formation energy = -27.390 eV/f.u.
! Crystal system = trigonal
&SYSTEM
  ibrav = 0, nat = 14, ntyp = 4
/
ATOMIC_SPECIES
Ba 137.33 Ba.upf
Pm 145.00 Pm.upf
Nd 144.24 Nd.upf
S 32.06 S.upf
CELL_PARAMETERS angstrom
4.246 2.451 6.916
-4.246 2.451 6.916
0.000 -4.903 6.916
ATOMIC_POSITIONS angstrom
Ba 0.000 0.000 0.000
Pm 0.000 0.000 7.748
Nd 0.000 -2.483 11.254
Nd -2.150 1.241 11.254
Nd 0.000 0.000 15.567
Nd 2.150 1.241 11.254
S 0.000 0.000 2.933
S 0.000 -2.127 5.956
S -1.842 1.063 5.956
S -1.990 -1.149 9.553
S 1.842 1.063 5.956
S 1.990 -1.149 9.553
S 0.000 2.297 9.553
S 0.000 0.000 12.819



! PBE BaPm4NdS8, optimized geometry; values from VASP
! Space-group type = No. 160
! Calculated total energy = -6.155 eV per atom
! Raw formation energy = -27.455 eV/f.u.
! Crystal system = trigonal
&SYSTEM
  ibrav = 0, nat = 14, ntyp = 4
/
ATOMIC_SPECIES
Ba 137.33 Ba.upf
Pm 145.00 Pm.upf
Nd 144.24 Nd.upf
S 32.06 S.upf
CELL_PARAMETERS angstrom
4.221 2.437 6.915
-4.221 2.437 6.915
0.000 -4.874 6.915
ATOMIC_POSITIONS angstrom
Ba 0.000 0.000 0.000
Pm 0.000 -2.469 11.240
Pm -2.138 1.234 11.240
Pm 0.000 0.000 15.548
Pm 2.138 1.234 11.240
Nd 0.000 0.000 7.738
S 0.000 -2.122 5.914
S -1.838 1.061 5.914
S 0.000 0.000 2.932
S -1.994 -1.151 9.561
S 1.838 1.061 5.914
S 0.000 0.000 12.804
S 1.994 -1.151 9.561
S 0.000 2.303 9.561



Calculated values (μB/atom) of spin magnetization for the records, taken in order: 0.000 0.000.